Entry 1:
SiH2Au2 | PBE | relaxed

Geometry as CIF:
```
data_SiH2Au2
_chemical_formula_sum 'Si2 H4 Au4'
_symmetry_space_group_name_H-M 'P 4/m b m'
_symmetry_Int_Tables_number 127
_symmetry_space_group_name_Hall '-P 4 2ab'
_cell_length_a 6.777
_cell_length_b 6.777
_cell_length_c 2.743
_cell_angle_alpha 90.00
_cell_angle_beta 90.00
_cell_angle_gamma 90.00
loop_
_atom_site_label
_atom_site_fract_x
_atom_site_fract_y
_atom_site_fract_z
Si1 0.000 0.000 0.000
H1 0.040 0.460 0.000
Au1 0.249 0.251 0.500
```

Summary:
Uncorrected energy: -3.493 eV/atom
Volume: 12.6 Å³/atom

---

Entry 2:
Si3HAu | PBE | relaxed

Geometry as CIF:
```
data_Si3HAu
_chemical_formula_sum 'Si3 H1 Au1'
_symmetry_space_group_name_H-M 'P m -3 m'
_symmetry_Int_Tables_number 221
_symmetry_space_group_name_Hall '-P 4 2 3'
_cell_length_a 4.883
_cell_length_b 4.883
_cell_length_c 4.883
_cell_angle_alpha 90.00
_cell_angle_beta 90.00
_cell_angle_gamma 90.00
loop_
_atom_site_label
_atom_site_fract_x
_atom_site_fract_y
_atom_site_fract_z
Si1 0.000 0.000 0.500
H1 0.500 0.500 0.500
Au1 0.000 0.000 0.000
```

Summary:
Relative energy among the computed polymorphs: 865 meV/atom
Uncorrected energy: -3.126 eV/atom
Volume: 23.3 Å³/atom

---

Entry 3:
Si3HAu | PBE | relaxed

Geometry as CIF:
```
data_Si3HAu
_chemical_formula_sum 'Si3 H1 Au1'
_symmetry_space_group_name_H-M 'P m -3 m'
_symmetry_Int_Tables_number 221
_symmetry_space_group_name_Hall '-P 4 2 3'
_cell_length_a 4.081
_cell_length_b 4.081
_cell_length_c 4.081
_cell_angle_alpha 90.00
_cell_angle_beta 90.00
_cell_angle_gamma 90.00
loop_
_atom_site_label
_atom_site_fract_x
_atom_site_fract_y
_atom_site_fract_z
Si1 0.000 0.000 0.500
H1 0.000 0.000 0.000
Au1 0.500 0.500 0.500
```

Summary:
Relative energy among the computed polymorphs: 0 meV/atom
Uncorrected energy: -3.991 eV/atom
Volume: 13.6 Å³/atom

---

Entry 4:
SiH2Au | PBE | relaxed

Geometry as CIF:
```
data_SiH2Au
_chemical_formula_sum 'Si4 H8 Au4'
_symmetry_space_group_name_H-M 'F m -3 m'
_symmetry_Int_Tables_number 225
_symmetry_space_group_name_Hall '-F 4 2 3'
_cell_length_a 5.521
_cell_length_b 5.521
_cell_length_c 5.521
_cell_angle_alpha 90.00
_cell_angle_beta 90.00
_cell_angle_gamma 90.00
loop_
_atom_site_label
_atom_site_fract_x
_atom_site_fract_y
_atom_site_fract_z
Si1 0.000 0.000 0.000
H1 0.250 0.250 0.250
Au1 0.000 0.000 0.500
```

Summary:
Relative energy among the computed polymorphs: 277 meV/atom
Uncorrected energy: -2.986 eV/atom
Volume: 10.5 Å³/atom

---

Entry 5:
Si2HAu | PBE | relaxed

Geometry as CIF:
```
data_Si2HAu
_chemical_formula_sum 'Si8 H4 Au4'
_symmetry_space_group_name_H-M 'F m -3 m'
_symmetry_Int_Tables_number 225
_symmetry_space_group_name_Hall '-F 4 2 3'
_cell_length_a 6.027
_cell_length_b 6.027
_cell_length_c 6.027
_cell_angle_alpha 90.00
_cell_angle_beta 90.00
_cell_angle_gamma 90.00
loop_
_atom_site_label
_atom_site_fract_x
_atom_site_fract_y
_atom_site_fract_z
Si1 0.250 0.250 0.250
H1 0.000 0.000 0.000
Au1 0.000 0.000 0.500
```

Summary:
Relative energy among the computed polymorphs: 116 meV/atom
Uncorrected energy: -3.853 eV/atom
Volume: 13.7 Å³/atom

---

Entry 6:
SiH2Au | PBE | relaxed

Geometry as CIF:
```
data_SiH2Au
_chemical_formula_sum 'Si4 H8 Au4'
_symmetry_space_group_name_H-M 'I -4 2 d'
_symmetry_Int_Tables_number 122
_symmetry_space_group_name_Hall 'I -4 2bw'
_cell_length_a 5.003
_cell_length_b 5.003
_cell_length_c 7.689
_cell_angle_alpha 90.00
_cell_angle_beta 90.00
_cell_angle_gamma 90.00
loop_
_atom_site_label
_atom_site_fract_x
_atom_site_fract_y
_atom_site_fract_z
Si1 0.000 0.000 0.000
H1 0.086 0.250 0.125
Au1 0.000 0.000 0.500
```

Summary:
Relative energy among the computed polymorphs: 0 meV/atom
Uncorrected energy: -3.263 eV/atom
Volume: 12.0 Å³/atom